[1]
# Na2Ga2Si

Crystalline Na2Ga2Si at its relaxed geometry (GGA-PBE, the Alexandria database).

Lattice parameters (Å, degrees): 6.306 5.748 7.673 96.13 90.00 123.26
Positions (direct):
Na  0.474  0.701  0.854
Ga  0.980  0.269  0.006
Ga  0.289  0.269  0.506
Ga  0.711  0.731  0.494
Si  0.958  0.000  0.250
Si  0.042  0.000  0.750
Na  0.226  0.701  0.354
Ga  0.020  0.731  0.994
Na  0.774  0.299  0.646
Na  0.526  0.299  0.146

Calculated values
Energy relative to the lowest polymorph listed for this composition: 0 meV per atom
Formation energy without anion corrections: -0.2 eV/f.u.
Magnetization: 0.00 μB per formula unit
E_tot: -2.860 eV per atom

---

[2]
# TbDy2CdO

Crystalline TbDy2CdO at its relaxed geometry (GGA-PBE, the Alexandria database).

Lattice parameters (Å, degrees): 4.811 4.787 4.787 90.00 90.00 90.00
Positions (direct):
Tb  0.500  0.000  0.000
Dy  0.000  0.000  0.500
Cd  0.500  0.500  0.500
Dy  0.000  0.500  0.000
O  0.000  0.000  0.000

Calculated values
Formation energy without anion corrections: -6.6 eV/f.u.
Magnetization: 0.00 μB per formula unit
E_tot: -5.266 eV per atom

---

[3]
# KTaSb2

Crystalline KTaSb2 at its relaxed geometry (GGA-PBE, the Alexandria database).

Lattice parameters (Å, degrees): 9.737 9.737 9.737 21.71 21.71 21.71
Positions (direct):
Sb  0.984  0.984  0.984
Sb  0.516  0.516  0.516
Ta  0.250  0.250  0.250
K  0.750  0.750  0.750

Calculated values
Energy relative to the lowest polymorph listed for this composition: 0 meV per atom
Formation energy without anion corrections: -0.4 eV/f.u.
Magnetization: 0.00 μB per formula unit
E_tot: -5.397 eV per atom